1.
First-principles (GGA-PBE) data for a relaxed structure of TmCuF4, as listed in the Alexandria database.

Cell: 3.8109 6.5919 8.2353 Å, 53.84 90.00 90.00°
Fractional coordinates of all 12 atoms:
Tm (0.0000, 0.0000, 0.5000)
Tm (0.5000, 0.5000, 0.0000)
Cu (0.5000, 0.5000, 0.5000)
Cu (0.0000, 0.0000, 0.0000)
F (0.4795, 0.1120, 0.3151)
F (0.9795, 0.3880, 0.1849)
F (0.5205, 0.8880, 0.6849)
F (0.0205, 0.6120, 0.8151)
F (0.8759, 0.7249, 0.4434)
F (0.3759, 0.7751, 0.0566)
F (0.1241, 0.2751, 0.5566)
F (0.6241, 0.2249, 0.9434)

Summary:
Calculated total energy ... -68.08 eV for the cell shown
N(E_F) ... 0.00 states/eV/cell
Formation energy without anion corrections ... -2.997 eV per atom
Total magnetization ... 0.0000 μB per atom

---

2.
First-principles (GGA-PBE) data for a relaxed structure of Zr2TlTe, as listed in the Alexandria database.

Cell: 5.2010 5.2010 5.5728 Å, 78.47 78.47 40.70°
Fractional coordinates of all 4 atoms:
Te (0.7500, 0.7500, 0.7500)
Tl (0.2500, 0.2500, 0.2500)
Zr (0.0040, 0.0040, 0.9870)
Zr (0.4960, 0.4960, 0.5130)

Summary:
Calculated total energy ... -23.34 eV for the cell shown
N(E_F) ... 3.95 states/eV/cell
Formation energy without anion corrections ... -0.185 eV per atom
Total magnetization ... 0.0000 μB per atom

---

3.
First-principles (GGA-PBE) data for a relaxed structure of Ba2SiAu, as listed in the Alexandria database.

Cell: 4.6393 6.1445 10.3831 Å, 115.22 90.00 90.00°
Fractional coordinates of all 8 atoms:
Ba (0.7500, 0.2028, 0.4235)
Ba (0.2500, 0.7972, 0.5765)
Ba (0.2500, 0.7993, 0.0732)
Ba (0.7500, 0.2007, 0.9268)
Si (0.2500, 0.4160, 0.2284)
Si (0.7500, 0.5840, 0.7716)
Au (0.7500, 0.5923, 0.2757)
Au (0.2500, 0.4077, 0.7243)

Summary:
Calculated total energy ... -29.07 eV for the cell shown
N(E_F) ... 6.01 states/eV/cell
Formation energy without anion corrections ... -0.497 eV per atom
Total magnetization ... 0.0000 μB per atom

---

4.
First-principles (GGA-PBE) data for a relaxed structure of RbZr2O4, as listed in the Alexandria database.

Cell: 6.8553 6.8553 6.8485 Å, 119.90 119.91 90.22°
Fractional coordinates of all 14 atoms:
Rb (0.2501, 0.7501, 0.5000)
Rb (0.9999, 0.9999, 0.0000)
Zr (0.6250, 0.3750, 0.7500)
Zr (0.6250, 0.8750, 0.2500)
Zr (0.6250, 0.3750, 0.2500)
Zr (0.1250, 0.3750, 0.7500)
O (0.8492, 0.1516, 0.3015)
O (0.4008, 0.5984, 0.1985)
O (0.8501, 0.5477, 0.6985)
O (0.8484, 0.1508, 0.6987)
O (0.4522, 0.1498, 0.3013)
O (0.3999, 0.2023, 0.8015)
O (0.4016, 0.5992, 0.8013)
O (0.7978, 0.6002, 0.1987)

Summary:
Calculated total energy ... -113.05 eV for the cell shown
N(E_F) ... 5.67 states/eV/cell
Formation energy without anion corrections ... -2.662 eV per atom
Total magnetization ... 0.0000 μB per atom

---

5.
First-principles (GGA-PBE) data for a relaxed structure of LaTb2Hg6, as listed in the Alexandria database.

Cell: 3.4804 8.6905 8.6905 Å, 120.00 90.00 90.00°
Each line ends with the local moment (μB).
Fractional coordinates of all 9 atoms:
La (0.0000, 0.0000, 0.0000)  0.08
Tb (0.0000, 0.3333, 0.6667)  0.03
Tb (0.0000, 0.6667, 0.3333)  0.03
Hg (0.5000, 0.3364, 0.3364)  0.00
Hg (0.5000, 0.6636, 0.6636)  0.00
Hg (0.5000, 0.0000, 0.6636)  0.00
Hg (0.5000, 0.6636, 0.0000)  0.00
Hg (0.5000, 0.3364, 0.0000)  0.00
Hg (0.5000, 0.0000, 0.3364)  0.00

Summary:
Calculated total energy ... -19.77 eV for the cell shown
N(E_F) ... 6.76 states/eV/cell
Total magnetization ... 0.0270 μB per atom
Energy relative to the elements ... -419 meV per atom

---

6.
First-principles (GGA-PBE) data for a relaxed structure of MgCu6Pd12, as listed in the Alexandria database.

Cell: 6.7050 7.2423 7.2423 Å, 69.07 72.02 107.98°
Fractional coordinates of all 19 atoms:
Mg (0.0000, 0.0000, 0.0000)
Cu (0.4247, 0.4736, 0.2118)
Cu (0.0490, 0.6855, 0.5264)
Cu (0.3635, 0.7882, 0.6855)
Cu (0.5753, 0.5264, 0.7882)
Cu (0.9510, 0.3145, 0.4736)
Cu (0.6365, 0.2118, 0.3145)
Pd (0.5222, 0.8446, 0.2698)
Pd (0.6776, 0.8856, 0.8446)
Pd (0.7920, 0.2698, 0.8856)
Pd (0.4778, 0.1554, 0.7302)
Pd (0.3224, 0.1144, 0.1554)
Pd (0.2080, 0.7302, 0.1144)
Pd (0.2629, 0.4269, 0.6270)
Pd (0.1102, 0.3730, 0.0538)
Pd (0.1640, 0.0538, 0.5731)
Pd (0.7371, 0.5731, 0.3730)
Pd (0.8898, 0.6270, 0.9462)
Pd (0.8360, 0.9462, 0.4269)

Summary:
Calculated total energy ... -91.52 eV for the cell shown
N(E_F) ... 18.49 states/eV/cell
Total magnetization ... 0.0000 μB per atom
Energy relative to the elements ... -160 meV per atom

---

7.
First-principles (GGA-PBE) data for a relaxed structure of MnCr2S4, as listed in the Alexandria database.

Cell: 7.1556 7.1556 7.1556 Å, 60.00 60.00 60.00°
Each line ends with the local moment (μB).
Fractional coordinates of all 14 atoms:
Mn (0.2500, 0.2500, 0.2500)  4.15
Mn (0.0000, 0.0000, 0.0000)  4.15
Cr (0.6250, 0.6250, 0.1250)  3.05
Cr (0.1250, 0.6250, 0.6250)  3.05
Cr (0.6250, 0.6250, 0.6250)  3.05
Cr (0.6250, 0.1250, 0.6250)  3.05
S (0.3858, 0.3858, 0.8426)  -0.06
S (0.4074, 0.8642, 0.8642)  -0.06
S (0.8642, 0.8642, 0.8642)  -0.06
S (0.8642, 0.4074, 0.8642)  -0.06
S (0.3858, 0.3858, 0.3858)  -0.06
S (0.3858, 0.8426, 0.3858)  -0.06
S (0.8642, 0.8642, 0.4074)  -0.06
S (0.8426, 0.3858, 0.3858)  -0.06

Summary:
Calculated total energy ... -99.57 eV for the cell shown
N(E_F) ... 1.11 states/eV/cell
Formation energy without anion corrections ... -0.694 eV per atom
Total magnetization ... 1.5717 μB per atom

---

8.
First-principles (GGA-PBE) data for a relaxed structure of CuPt4Se8, as listed in the Alexandria database.

Cell: 7.4360 7.4360 7.4360 Å, 60.63 60.63 60.63°
Fractional coordinates of all 13 atoms:
Cu (0.5000, 0.5000, 0.5000)
Pt (0.5000, 0.0000, 0.5000)
Pt (0.0000, 0.5000, 0.5000)
Pt (0.5000, 0.5000, 0.0000)
Pt (0.0000, 0.0000, 0.0000)
Se (0.2468, 0.7298, 0.2468)
Se (0.7532, 0.7532, 0.2702)
Se (0.7532, 0.2702, 0.7532)
Se (0.2702, 0.7532, 0.7532)
Se (0.7395, 0.7395, 0.7395)
Se (0.2605, 0.2605, 0.2605)
Se (0.7298, 0.2468, 0.2468)
Se (0.2468, 0.2468, 0.7298)

Summary:
Calculated total energy ... -60.17 eV for the cell shown
N(E_F) ... 1.90 states/eV/cell
Formation energy without anion corrections ... -0.310 eV per atom
Total magnetization ... 0.0000 μB per atom

---

9.
First-principles (GGA-PBE) data for a relaxed structure of Tb2NdHo3As6, as listed in the Alexandria database.

Cell: 4.1438 8.2823 9.2603 Å, 102.89 102.93 90.00°
Fractional coordinates of all 12 atoms:
Tb (0.8326, 0.6659, 0.6651)
Tb (0.1674, 0.3341, 0.3349)
Nd (0.5000, 0.0000, 0.0000)
Ho (0.5000, 0.5000, 0.0000)
Ho (0.8337, 0.1677, 0.6674)
Ho (0.1663, 0.8323, 0.3326)
As (0.3306, 0.9170, 0.6613)
As (0.6661, 0.5844, 0.3322)
As (0.6694, 0.0830, 0.3387)
As (0.9998, 0.2573, 0.9997)
As (0.0002, 0.7427, 0.0003)
As (0.3339, 0.4156, 0.6678)

Summary:
Calculated total energy ... -73.96 eV for the cell shown
N(E_F) ... 1.80 states/eV/cell
Total magnetization ... 0.0000 μB per atom
Energy relative to the elements ... -1525 meV per atom

---

10.
First-principles (GGA-PBE) data for a relaxed structure of Sc3CdC, as listed in the Alexandria database.

Cell: 3.7954 3.7954 17.5299 Å, 90.00 90.00 120.00°
Fractional coordinates of all 10 atoms:
Sc (0.0000, 0.0000, 0.2500)
Sc (0.0000, 0.0000, 0.7500)
Sc (0.3333, 0.6667, 0.8761)
Sc (0.3333, 0.6667, 0.6239)
Sc (0.6667, 0.3333, 0.3761)
Sc (0.6667, 0.3333, 0.1239)
C (0.3333, 0.6667, 0.7500)
C (0.6667, 0.3333, 0.2500)
Cd (0.0000, 0.0000, 0.0000)
Cd (0.0000, 0.0000, 0.5000)

Summary:
Calculated total energy ... -59.34 eV for the cell shown
N(E_F) ... 9.72 states/eV/cell
Total magnetization ... 0.0002 μB per atom
Energy relative to the elements ... -107 meV per atom

---

11.
First-principles (GGA-PBE) data for a relaxed structure of Zn4PdAu, as listed in the Alexandria database.

Cell: 5.3671 7.3751 6.1458 Å, 126.87 94.51 90.00°
Fractional coordinates of all 12 atoms:
Zn (0.6229, 0.5605, 0.2418)
Zn (0.6229, 0.1814, 0.2418)
Zn (0.1229, 0.6813, 0.2418)
Zn (0.1229, 0.0605, 0.2418)
Zn (0.3771, 0.8186, 0.7582)
Zn (0.3771, 0.4395, 0.7582)
Zn (0.8771, 0.9395, 0.7582)
Zn (0.8771, 0.3187, 0.7582)
Pd (0.7500, 0.7500, 0.0000)
Pd (0.2500, 0.2500, 0.0000)
Au (0.5000, 0.0000, 0.5000)
Au (0.0000, 0.5000, 0.5000)

Summary:
Calculated total energy ... -29.71 eV for the cell shown
N(E_F) ... 4.48 states/eV/cell
Total magnetization ... 0.0000 μB per atom
Energy relative to the elements ... -215 meV per atom

---

12.
First-principles (GGA-PBE) data for a relaxed structure of CrTeRuN2, as listed in the Alexandria database.

Cell: 3.8360 3.8360 5.7942 Å, 90.00 90.00 90.00°
Each line ends with the local moment (μB).
Fractional coordinates of all 5 atoms:
Ru (0.0000, 0.0000, 0.0000)  0.04
N (0.0000, 0.5000, 0.0000)  0.17
N (0.5000, 0.0000, 0.0000)  0.17
Te (0.0000, 0.0000, 0.5000)  -0.09
Cr (0.5000, 0.5000, 0.5000)  3.80

Summary:
Calculated total energy ... -34.57 eV for the cell shown
N(E_F) ... 2.30 states/eV/cell
Formation energy without anion corrections ... 0.825 eV per atom
Total magnetization ... 0.9284 μB per atom

---

13.
First-principles (GGA-PBE) data for a relaxed structure of TaSe3Cl, as listed in the Alexandria database.

Cell: 5.0178 5.0178 5.0178 Å, 90.00 90.00 90.00°
Fractional coordinates of all 5 atoms:
Cl (0.5000, 0.5000, 0.5000)
Se (0.0000, 0.5000, 0.0000)
Se (0.0000, 0.0000, 0.5000)
Se (0.5000, 0.0000, 0.0000)
Ta (0.0000, 0.0000, 0.0000)

Summary:
Calculated total energy ... -24.60 eV for the cell shown
N(E_F) ... 6.27 states/eV/cell
Formation energy without anion corrections ... -0.089 eV per atom
Total magnetization ... 0.0000 μB per atom

---

14.
First-principles (GGA-PBE) data for a relaxed structure of ErCrS2, as listed in the Alexandria database.

Cell: 3.8637 3.8637 6.3009 Å, 72.15 72.15 60.00°
Each line ends with the local moment (μB).
Fractional coordinates of all 4 atoms:
Cr (0.0000, 0.0000, 0.0000)  3.76
S (0.2549, 0.2549, 0.2353)  0.01
S (0.7451, 0.7451, 0.7647)  0.01
Er (0.5000, 0.5000, 0.5000)  0.05

Summary:
Calculated total energy ... -27.16 eV for the cell shown
N(E_F) ... 3.18 states/eV/cell
Formation energy without anion corrections ... -1.179 eV per atom
Total magnetization ... 1.0674 μB per atom

---

15.
First-principles (GGA-PBE) data for a relaxed structure of CsNa7Sn3, as listed in the Alexandria database.

Cell: 6.0518 8.4291 8.4291 Å, 88.20 109.79 109.79°
Fractional coordinates of all 11 atoms:
Cs (0.5000, 0.5000, 0.5000)
Na (0.1379, 0.1441, 0.1441)
Na (0.2995, 0.9972, 0.6085)
Na (0.7005, 0.3915, 0.0028)
Na (0.2995, 0.6085, 0.9972)
Na (0.0000, 0.5000, 0.5000)
Na (0.7005, 0.0028, 0.3915)
Na (0.8621, 0.8559, 0.8559)
Sn (0.0000, 0.7639, 0.2361)
Sn (0.5000, 0.0000, 0.0000)
Sn (0.0000, 0.2361, 0.7639)

Summary:
Calculated total energy ... -22.34 eV for the cell shown
N(E_F) ... 4.22 states/eV/cell
Total magnetization ... 0.0000 μB per atom
Energy relative to the elements ... -22 meV per atom

---

16.
First-principles (GGA-PBE) data for a relaxed structure of Cs2KRuI6, as listed in the Alexandria database.

Cell: 8.6327 8.6327 8.6327 Å, 60.00 60.00 90.00°
Each line ends with the local moment (μB).
Fractional coordinates of all 10 atoms:
Cs (0.7500, 0.2500, 0.5000)  0.00
Cs (0.2500, 0.7500, 0.5000)  0.00
I (0.2231, 0.2231, 0.5538)  0.02
I (0.7769, 0.7769, 0.4462)  0.02
I (0.2231, 0.2231, 0.0000)  0.02
I (0.7769, 0.7769, 0.0000)  0.02
I (0.7769, 0.2231, 0.0000)  0.02
I (0.2231, 0.7769, 0.0000)  0.02
K (0.5000, 0.5000, 0.0000)  0.00
Ru (0.0000, 0.0000, 0.0000)  0.76

Summary:
Calculated total energy ... -30.10 eV for the cell shown
N(E_F) ... 16.83 states/eV/cell
Formation energy without anion corrections ... -0.872 eV per atom
Total magnetization ... 0.1000 μB per atom

---

17.
First-principles (GGA-PBE) data for a relaxed structure of ZrV2WAu, as listed in the Alexandria database.

Cell: 4.5969 5.1126 4.5969 Å, 90.00 90.00 90.00°
Each line ends with the local moment (μB).
Fractional coordinates of all 5 atoms:
Au (0.5000, 0.5000, 0.5000)  0.01
Zr (0.0000, 0.5000, 0.0000)  0.02
W (0.0000, 0.0000, 0.0000)  -0.26
V (0.0000, 0.0000, 0.5000)  0.82
V (0.5000, 0.0000, 0.0000)  1.22

Summary:
Calculated total energy ... -37.40 eV for the cell shown
N(E_F) ... 4.98 states/eV/cell
Total magnetization ... 0.4336 μB per atom
Energy relative to the elements ... 1122 meV per atom

---

18.
First-principles (GGA-PBE) data for a relaxed structure of Te3Os2, as listed in the Alexandria database.

Cell: 9.6504 9.6504 9.6504 Å, 22.85 22.85 22.85°
Fractional coordinates of all 5 atoms:
Te (0.0000, 0.0000, 0.0000)
Te (0.7798, 0.7798, 0.7798)
Te (0.2202, 0.2202, 0.2202)
Os (0.3986, 0.3986, 0.3986)
Os (0.6014, 0.6014, 0.6014)

Summary:
Calculated total energy ... -29.57 eV for the cell shown
N(E_F) ... 5.06 states/eV/cell
Formation energy without anion corrections ... 0.464 eV per atom
Total magnetization ... 0.0000 μB per atom

---

19.
First-principles (GGA-PBE) data for a relaxed structure of Zn3Co2Cu, as listed in the Alexandria database.

Cell: 2.9988 4.0373 6.3858 Å, 108.43 90.00 90.00°
Fractional coordinates of all 6 atoms:
Zn (0.5000, 0.5000, 0.0000)
Zn (0.5000, 0.8280, 0.6559)
Zn (0.5000, 0.1720, 0.3441)
Co (0.0000, 0.3375, 0.6751)
Co (0.0000, 0.6625, 0.3249)
Cu (0.0000, 0.0000, 0.0000)

Summary:
Calculated total energy ... -22.29 eV for the cell shown
N(E_F) ... 2.12 states/eV/cell
Total magnetization ... 0.0000 μB per atom
Energy relative to the elements ... -26 meV per atom

---

20.
First-principles (GGA-PBE) data for a relaxed structure of CeSm2Zn, as listed in the Alexandria database.

Cell: 4.6610 4.8311 4.8311 Å, 90.00 90.00 90.00°
Each line ends with the local moment (μB).
Fractional coordinates of all 4 atoms:
Zn (0.5000, 0.5000, 0.5000)  0.00
Ce (0.5000, 0.0000, 0.0000)  0.56
Sm (0.0000, 0.0000, 0.5000)  0.06
Sm (0.0000, 0.5000, 0.0000)  0.06

Summary:
Calculated total energy ... -16.64 eV for the cell shown
N(E_F) ... 8.57 states/eV/cell
Total magnetization ... 0.2241 μB per atom
Energy relative to the elements ... 2 meV per atom

---

21.
First-principles (GGA-PBE) data for a relaxed structure of ScTlSn2, as listed in the Alexandria database.

Cell: 4.7629 4.5862 4.5862 Å, 90.00 90.00 90.00°
Fractional coordinates of all 4 atoms:
Sc (0.5000, 0.0000, 0.0000)
Tl (0.5000, 0.5000, 0.5000)
Sn (0.0000, 0.0000, 0.5000)
Sn (0.0000, 0.5000, 0.0000)

Summary:
Calculated total energy ... -17.56 eV for the cell shown
N(E_F) ... 1.86 states/eV/cell
Total magnetization ... 0.0000 μB per atom
Energy relative to the elements ... -214 meV per atom

---

22.
First-principles (GGA-PBE) data for a relaxed structure of KBa2Rh, as listed in the Alexandria database.

Cell: 4.3471 4.3471 11.3126 Å, 90.00 90.00 90.00°
Each line ends with the local moment (μB).
Fractional coordinates of all 4 atoms:
Ba (0.0000, 0.0000, 0.8889)  0.01
Ba (0.5000, 0.5000, 0.1780)  0.07
K (0.0000, 0.0000, 0.4925)  0.00
Rh (0.5000, 0.5000, 0.9406)  0.00

Summary:
Calculated total energy ... -11.98 eV for the cell shown
N(E_F) ... 2.22 states/eV/cell
Total magnetization ... 0.1027 μB per atom
Energy relative to the elements ... 79 meV per atom

---

23.
First-principles (GGA-PBE) data for a relaxed structure of ErPaPS, as listed in the Alexandria database.

Cell: 3.8019 3.8020 7.3123 Å, 90.00 105.07 120.00°
Each line ends with the local moment (μB).
Fractional coordinates of all 4 atoms:
Er (0.4813, 0.1386, 0.6352)  0.00
Pa (0.1254, 0.9606, 0.1012)  0.41
P (0.3009, 0.5484, 0.8645)  -0.01
S (0.9704, 0.3831, 0.3688)  -0.01

Summary:
Calculated total energy ... -29.60 eV for the cell shown
N(E_F) ... 4.03 states/eV/cell
Formation energy without anion corrections ... -1.500 eV per atom
Total magnetization ... 0.1273 μB per atom